i) This record from Alexandria via LeMat-Bulk describes a relaxed NiPF3 crystal. The functional is GGA+U.

```
NiPF3
1.0
4.104 0.000 0.000
0.000 4.104 0.000
0.000 0.000 4.104
Ni P F
1 1 3
Direct
0.000 0.000 0.000
0.500 0.500 0.500
0.000 0.500 0.500
0.500 0.000 0.500
0.500 0.500 0.000
```

Computed properties:
Its mass density is 3.5 g/cm³. The calculation puts the total magnetization at 2.068 μB/cell. Its crystal system is cubic. As for the symmetry: Pm-3m (221).

---

ii) This record from Alexandria via LeMat-Bulk describes a relaxed NiPF3 crystal. The functional is GGA+U.

```
NiPF3
1.0
4.005 0.000 0.000
0.000 4.005 0.000
0.000 0.000 4.005
Ni P F
1 1 3
Direct
0.000 0.000 0.000
0.500 0.500 0.500
0.000 0.000 0.500
0.000 0.500 0.000
0.500 0.000 0.000
```

Computed properties:
Its mass density is 3.8 g/cm³. The calculation puts the total magnetization at 1.980 μB/cell. Its crystal system is cubic. As for the symmetry: Pm-3m (221).

---

Stability, highest: ii)

---

i) This record from Alexandria via LeMat-Bulk describes a relaxed NiP2SF crystal. The functional is GGA+U.

```
NiP2SF
1.0
4.015 0.000 0.000
0.000 4.015 0.000
0.000 0.000 5.258
Ni P S F
1 2 1 1
Direct
0.000 0.000 0.000
0.000 0.500 0.500
0.500 0.000 0.500
0.500 0.500 0.000
0.500 0.500 0.500
```

Computed properties:
Its mass density is 3.4 g/cm³. The calculation puts the total magnetization at 1.222 μB/cell. Its crystal system is tetragonal. As for the symmetry: P4/mmm (123).

---

ii) This record from Alexandria via LeMat-Bulk describes a relaxed NiP2SF crystal. The functional is GGA+U.

```
NiP2SF
1.0
4.331 0.000 0.000
0.000 4.331 0.000
0.000 0.000 4.334
Ni P S F
1 2 1 1
Direct
0.000 0.000 0.000
0.000 0.500 0.000
0.500 0.000 0.000
0.000 0.000 0.500
0.500 0.500 0.500
```

Computed properties:
Its mass density is 3.5 g/cm³. The calculation puts the total magnetization at 0.000 μB/cell. Its crystal system is tetragonal. As for the symmetry: P4/mmm (123).

---

Stability, highest: ii)

---

i) This record from Alexandria via LeMat-Bulk describes a relaxed NiPS2F crystal. The functional is GGA+U.

```
NiPS2F
1.0
4.293 0.000 0.000
0.000 4.293 0.000
0.000 0.000 4.481
Ni P S F
1 1 2 1
Direct
0.000 0.000 0.000
0.000 0.000 0.500
0.000 0.500 0.000
0.500 0.000 0.000
0.500 0.500 0.500
```

Computed properties:
Its mass density is 3.5 g/cm³. The calculation puts the total magnetization at 0.000 μB/cell. Its crystal system is tetragonal. As for the symmetry: P4/mmm (123).

---

ii) This record from Alexandria via LeMat-Bulk describes a relaxed NiPS2F crystal. The functional is GGA+U.

```
NiPS2F
1.0
4.937 0.000 0.000
0.000 4.937 0.000
0.000 0.000 3.624
Ni P S F
1 1 2 1
Direct
0.000 0.000 0.000
0.500 0.500 0.000
0.000 0.500 0.500
0.500 0.000 0.500
0.500 0.500 0.500
```

Computed properties:
Its mass density is 3.2 g/cm³. The calculation puts the total magnetization at 2.107 μB/cell. Its crystal system is tetragonal. As for the symmetry: P4/mmm (123).

---

Stability, highest: i)

---

i) This record from Alexandria via LeMat-Bulk describes a relaxed Ni2PbF crystal. The functional is GGA+U.

```
Ni2PbF
1.0
0.000 3.035 3.035
3.035 0.000 3.035
3.035 3.035 0.000
Ni Pb F
2 1 1
Direct
0.250 0.250 0.250
0.750 0.750 0.750
0.000 0.000 0.000
0.500 0.500 0.500
```

Computed properties:
Its mass density is 10.2 g/cm³. The calculation puts the total magnetization at 0.000 μB/cell. Its crystal system is cubic. As for the symmetry: Fm-3m (225).

---

ii) This record from Alexandria via LeMat-Bulk describes a relaxed Ni2PbF crystal. The functional is GGA+U.

```
Ni2PbF
1.0
-2.357 2.357 6.566
2.357 -2.357 6.566
2.357 2.357 -6.566
Ni Pb F
4 2 2
Direct
0.375 0.040 0.165
0.790 0.625 0.665
0.875 0.210 0.835
0.960 0.125 0.335
0.250 0.750 0.500
0.500 0.500 0.000
0.000 0.000 0.000
0.750 0.250 0.500
```

Computed properties:
Its mass density is 7.8 g/cm³. The calculation puts the total magnetization at 3.641 μB/cell. Its crystal system is tetragonal. As for the symmetry: I-42d (122).

---

Stability, highest: ii)